Record 1
Computed, not measured: a relaxed structure of Mg4SbSe at the GGA-PBE level of DFT.

Cell lengths 5.808, 5.808, 5.808 Å; angles 60.00, 60.00, 60.00 degrees
Fractional coordinates of all 6 atoms:
Mg 0.125 0.125 0.125
Mg 0.125 0.125 0.624
Mg 0.125 0.624 0.125
Mg 0.624 0.125 0.125
Sb 0.750 0.750 0.750
Se 0.500 0.500 0.500

ΔE_f (raw): -0.053 eV per atom
M_tot: 0.000 μB/atom

Record 2
Computed, not measured: a relaxed structure of MgSb2Se at the GGA-PBE level of DFT.

Cell lengths 3.747, 3.747, 8.555 Å; angles 90.00, 90.00, 90.00 degrees
Fractional coordinates of all 4 atoms:
Mg 0.000 0.000 0.000
Sb 0.000 0.000 0.641
Sb 0.500 0.500 0.471
Se 0.500 0.500 0.044

ΔE_f (raw): -0.333 eV per atom
M_tot: 0.000 μB/atom
Offset from the most stable computed form: 8 meV/atom

Record 3
Computed, not measured: a relaxed structure of MgSbSe2 at the GGA-PBE level of DFT.

Cell lengths 3.921, 3.921, 7.698 Å; angles 90.00, 90.00, 119.93 degrees
Fractional coordinates of all 4 atoms:
Mg 0.000 0.000 0.000
Sb 0.000 0.000 0.500
Se 0.500 0.500 0.229
Se 0.500 0.500 0.771

ΔE_f (raw): -0.326 eV per atom
M_tot: 0.000 μB/atom
Offset from the most stable computed form: 214 meV/atom

Record 4
Computed, not measured: a relaxed structure of MgSb2Se at the GGA-PBE level of DFT.

Cell lengths 6.525, 6.525, 6.525 Å; angles 142.41, 142.41, 54.21 degrees
Fractional coordinates of all 4 atoms:
Mg 0.000 0.000 0.000
Sb 0.250 0.750 0.500
Sb 0.750 0.250 0.500
Se 0.500 0.500 0.000

ΔE_f (raw): -0.050 eV per atom
M_tot: 0.000 μB/atom
Offset from the most stable computed form: 291 meV/atom

Record 5
Computed, not measured: a relaxed structure of MgSb2Se at the GGA-PBE level of DFT.

Cell lengths 4.048, 4.048, 7.077 Å; angles 90.00, 90.00, 90.00 degrees
Fractional coordinates of all 4 atoms:
Mg 0.000 0.000 0.000
Sb 0.000 0.500 0.500
Sb 0.500 0.000 0.500
Se 0.500 0.500 0.000

ΔE_f (raw): -0.063 eV per atom
M_tot: 0.000 μB/atom
Offset from the most stable computed form: 278 meV/atom

Record 6
Computed, not measured: a relaxed structure of MgSbSe4 at the GGA-PBE level of DFT.

Cell lengths 5.788, 5.788, 5.788 Å; angles 60.00, 60.00, 60.00 degrees
Fractional coordinates of all 6 atoms:
Mg 0.000 0.000 0.000
Sb 0.750 0.750 0.750
Se 0.374 0.374 0.374
Se 0.374 0.374 0.878
Se 0.374 0.878 0.374
Se 0.878 0.374 0.374

ΔE_f (raw): 0.381 eV per atom
M_tot: 0.000 μB/atom

Number 1: E -2.383 eV/atom. Number 2: E -3.664 eV/atom. Number 3: E -3.498 eV/atom. Number 4: E -3.381 eV/atom. Number 5: E -3.394 eV/atom. Number 6: E -2.894 eV/atom.